[1]
{"formula": "Y6Zn2Ag", "functional": "GGA-PBE", "state": "relaxed", "cell": [[-4.832, 4.994, 5.007], [4.832, -4.994, 5.007], [4.832, 4.994, -5.007]], "species": ["Y", "Y", "Y", "Y", "Y", "Y", "Y", "Y", "Y", "Y", "Y", "Y", "Zn", "Zn", "Zn", "Zn", "Ag", "Ag"], "fractional_positions": [[0.036, 0.214, 0.822], [0.250, 0.303, 0.553], [0.250, 0.697, 0.947], [0.267, 0.589, 0.322], [0.267, 0.945, 0.678], [0.392, 0.214, 0.178], [0.608, 0.786, 0.822], [0.733, 0.055, 0.322], [0.733, 0.411, 0.678], [0.750, 0.303, 0.053], [0.750, 0.697, 0.447], [0.964, 0.786, 0.178], [0.000, 0.137, 0.137], [0.000, 0.863, 0.863], [0.375, 0.000, 0.375], [0.625, 0.000, 0.625], [0.000, 0.500, 0.500], [0.500, 0.500, 0.000]], "magnetic_moment_mub_per_atom": 0.000, "delta_e_f_ev_per_atom": -0.200, "energy_ev_per_atom": -5.11, "volume_a3_per_cell": 483.4, "spacegroup": "Immm (71)"}

[2]
{"formula": "YZnAg3", "functional": "GGA-PBE", "state": "relaxed", "cell": [[4.838, 0.000, 0.000], [0.000, 4.838, 0.000], [0.000, 0.000, 4.838]], "species": ["Y", "Zn", "Ag", "Ag", "Ag"], "fractional_positions": [[0.000, 0.000, 0.000], [0.500, 0.500, 0.500], [0.000, 0.500, 0.500], [0.500, 0.000, 0.500], [0.500, 0.500, 0.000]], "magnetic_moment_mub_per_atom": 0.000, "relative_energy_mev_per_atom": 341.7, "delta_e_f_ev_per_atom": 0.126, "energy_ev_per_atom": -3.13, "volume_a3_per_cell": 113.3, "spacegroup": "Pm-3m (221)"}